A plane-wave DFT calculation with PBE was carried out for an optimized crystal structure of HoZnCuAu.

DFT total energy, eV per atom: -3.716
Formation enthalpy at 0 K, eV per atom: -0.409
D(E_F), states/eV/cell: 12.02

The structure in CIF format:
```
data_HoZnCuAu
_cell_length_a 6.654
_cell_length_b 6.654
_cell_length_c 6.654
_cell_angle_alpha 90.00
_cell_angle_beta 90.00
_cell_angle_gamma 90.00
_space_group_name_H-M_alt 'F -4 3 m'
_space_group_IT_number 216
_space_group_name_Hall 'F -4 2 3'
loop_
_atom_site_label
_atom_site_type_symbol
_atom_site_fract_x
_atom_site_fract_y
_atom_site_fract_z
Ho1 Ho 0.000 0.000 0.000
Zn1 Zn 0.000 0.000 0.500
Cu1 Cu 0.250 0.250 0.250
Au1 Au 0.250 0.250 0.750
```

---

A plane-wave DFT calculation with PBE was carried out for an optimized crystal structure of Ho4ZnCu2Au.

DFT total energy, eV per atom: -4.315
Formation enthalpy at 0 K, eV per atom: -0.434
D(E_F), states/eV/cell: 17.70

The structure in CIF format:
```
data_Ho4ZnCu2Au
_cell_length_a 4.9593
_cell_length_b 4.9593
_cell_length_c 24.4925
_cell_angle_alpha 90.00
_cell_angle_beta 90.00
_cell_angle_gamma 120.00
_space_group_name_H-M_alt 'R -3 m'
_space_group_IT_number 166
_space_group_name_Hall '-R 3 2"'
loop_
_atom_site_label
_atom_site_type_symbol
_atom_site_fract_x
_atom_site_fract_y
_atom_site_fract_z
Ho1 Ho 0.0000 0.0000 0.1248
Ho2 Ho 0.0000 0.0000 0.3752
Zn1 Zn 0.0000 0.0000 0.0000
Cu1 Cu 0.0000 0.0000 0.2554
Au1 Au 0.0000 0.0000 0.5000
```

---

A plane-wave DFT calculation with PBE was carried out for an optimized crystal structure of Ho2Zn12Cu3Au.

DFT total energy, eV per atom: -2.005
Formation enthalpy at 0 K, eV per atom: 0.217
D(E_F), states/eV/cell: 21.10

The structure in CIF format:
```
data_Ho2Zn12Cu3Au
_cell_length_a 8.3330
_cell_length_b 8.3330
_cell_length_c 18.5925
_cell_angle_alpha 90.00
_cell_angle_beta 90.00
_cell_angle_gamma 120.00
_space_group_name_H-M_alt 'R -3 m'
_space_group_IT_number 166
_space_group_name_Hall '-R 3 2"'
loop_
_atom_site_label
_atom_site_type_symbol
_atom_site_fract_x
_atom_site_fract_y
_atom_site_fract_z
Ho1 Ho 0.0000 0.0000 0.0955
Zn1 Zn 0.0101 0.5051 0.8657
Zn2 Zn 0.0766 0.5383 0.3887
Cu1 Cu 0.0000 0.5000 0.0000
Au1 Au 0.0000 0.0000 0.5000
```

---

A plane-wave DFT calculation with PBE was carried out for an optimized crystal structure of HoZrCuAu.

DFT total energy, eV per atom: -5.475
Formation enthalpy at 0 K, eV per atom: -0.350
D(E_F), states/eV/cell: 20.02

The structure in CIF format:
```
data_HoZrCuAu
_cell_length_a 6.895
_cell_length_b 6.895
_cell_length_c 6.895
_cell_angle_alpha 90.00
_cell_angle_beta 90.00
_cell_angle_gamma 90.00
_space_group_name_H-M_alt 'F -4 3 m'
_space_group_IT_number 216
_space_group_name_Hall 'F -4 2 3'
loop_
_atom_site_label
_atom_site_type_symbol
_atom_site_fract_x
_atom_site_fract_y
_atom_site_fract_z
Ho1 Ho 0.000 0.000 0.000
Zr1 Zr 0.000 0.000 0.500
Cu1 Cu 0.250 0.250 0.250
Au1 Au 0.250 0.250 0.750
```

---

A plane-wave DFT calculation with PBE was carried out for an optimized crystal structure of CuAuI5.

Formation energy without anion corrections, eV per atom: 0.05
DFT total energy, eV per atom: -2.115
D(E_F), states/eV/cell: 3.53

The structure in CIF format:
```
data_CuAuI5
_cell_length_a 10.768
_cell_length_b 12.069
_cell_length_c 5.032
_cell_angle_alpha 90.00
_cell_angle_beta 97.04
_cell_angle_gamma 90.00
_space_group_name_H-M_alt 'C 1 m 1'
_space_group_IT_number 8
loop_
_space_group_symop_operation_xyz
'x,y,z'
'x,-y,z'
'x+1/2,y+1/2,z'
'x+1/2,-y+1/2,z'
loop_
_atom_site_label
_atom_site_type_symbol
_atom_site_fract_x
_atom_site_fract_y
_atom_site_fract_z
Cu1 Cu 0.000 0.000 0.000
Au1 Au 0.383 0.000 0.131
I1 I 0.058 0.500 0.534
I2 I 0.200 0.000 0.744
I3 I 0.300 0.500 0.246
I4 I 0.464 0.295 0.035
```

---

A plane-wave DFT calculation with PBE was carried out for an optimized crystal structure of CuAuI2.

Formation energy without anion corrections, eV per atom: 0.05
DFT total energy, eV per atom: -2.573
D(E_F), states/eV/cell: 0.13

The structure in CIF format:
```
data_CuAuI2
_cell_length_a 4.2505
_cell_length_b 4.2505
_cell_length_c 24.4736
_cell_angle_alpha 90.00
_cell_angle_beta 90.00
_cell_angle_gamma 120.00
_space_group_name_H-M_alt 'R -3 m'
_space_group_IT_number 166
_space_group_name_Hall '-R 3 2"'
loop_
_atom_site_label
_atom_site_type_symbol
_atom_site_fract_x
_atom_site_fract_y
_atom_site_fract_z
Cu1 Cu 0.0000 0.0000 0.0000
Au1 Au 0.0000 0.0000 0.5000
I1 I 0.0000 0.0000 0.3938
```

---

A plane-wave DFT calculation with PBE was carried out for an optimized crystal structure of Cu2Au2I.

Formation energy without anion corrections, eV per atom: 0.27
DFT total energy, eV per atom: -2.988
D(E_F), states/eV/cell: 5.68

The structure in CIF format:
```
data_Cu2Au2I
_cell_length_a 3.883
_cell_length_b 3.883
_cell_length_c 13.358
_cell_angle_alpha 90.00
_cell_angle_beta 90.00
_cell_angle_gamma 90.00
_space_group_name_H-M_alt 'I 4/m m m'
_space_group_IT_number 139
_space_group_name_Hall '-I 4 2'
loop_
_atom_site_label
_atom_site_type_symbol
_atom_site_fract_x
_atom_site_fract_y
_atom_site_fract_z
Cu1 Cu 0.000 0.500 0.250
Au1 Au 0.000 0.000 0.119
I1 I 0.000 0.000 0.500
```

---

A plane-wave DFT calculation with PBE was carried out for an optimized crystal structure of Cu2AuI4.

Formation energy without anion corrections, eV per atom: -0.11
DFT total energy, eV per atom: -2.634
D(E_F), states/eV/cell: 7.22

The structure in CIF format:
```
data_Cu2AuI4
_cell_length_a 6.028
_cell_length_b 6.028
_cell_length_c 6.351
_cell_angle_alpha 90.00
_cell_angle_beta 90.00
_cell_angle_gamma 90.00
_space_group_name_H-M_alt 'P -4 2 m'
_space_group_IT_number 111
loop_
_space_group_symop_operation_xyz
'x,y,z'
'y,-x,-z'
'-x,-y,z'
'-y,x,-z'
'x,-y,-z'
'y,x,z'
'-x,y,-z'
'-y,-x,z'
loop_
_atom_site_label
_atom_site_type_symbol
_atom_site_fract_x
_atom_site_fract_y
_atom_site_fract_z
Cu1 Cu 0.000 0.500 0.000
Au1 Au 0.000 0.000 0.500
I1 I 0.261 0.261 0.763
```